[1]
Entry from the Alexandria database: a relaxed Pr6GeS5 crystal (PBE).

For the formation energy (no corrections), the calculation gives -1.85 eV/atom. The calculation puts the total energy at -6.35 eV/atom.

a = 7.209 Å, b = 7.182 Å, c = 7.183 Å
α = 60.01°, β = 80.47°, γ = 70.67°
Sites, in units of the cell vectors:
1 Pr 0.749 0.083 0.333
2 Pr 0.251 0.583 0.333
3 Pr 0.249 0.251 0.000
4 Pr 0.751 0.749 0.000
5 Pr 0.749 0.417 0.667
6 Pr 0.251 0.917 0.667
7 Ge 0.000 0.000 0.000
8 S 0.500 0.165 0.670
9 S 0.000 0.333 0.335
10 S 0.500 0.500 0.000
11 S 0.000 0.667 0.665
12 S 0.500 0.835 0.330

=====

[2]
Entry from the Alexandria database: a relaxed Pm3InRh3 crystal (PBE).

The energy relative to the elements is -427.8 meV per atom. The calculation puts the total energy at -6.01 eV/atom.

a = 5.527 Å, b = 8.484 Å, c = 8.484 Å
α = 120.00°, β = 90.00°, γ = 90.00°
Sites, in units of the cell vectors:
1 Pm 0.750 0.679 0.601
2 Pm 0.750 0.399 0.077
3 Pm 0.750 0.923 0.321
4 Pm 0.250 0.321 0.399
5 Pm 0.250 0.601 0.923
6 Pm 0.250 0.077 0.679
7 In 0.250 0.667 0.333
8 In 0.750 0.333 0.667
9 Rh 0.250 0.757 0.693
10 Rh 0.250 0.307 0.064
11 Rh 0.250 0.936 0.243
12 Rh 0.750 0.243 0.307
13 Rh 0.750 0.693 0.936
14 Rh 0.750 0.064 0.757

=====

[3]
Entry from the Alexandria database: a relaxed ZrReTc crystal (PBE).

The energy relative to the elements is -20.7 meV per atom. The calculation puts the total energy at -10.47 eV/atom.

a = 4.506 Å, b = 4.506 Å, c = 2.858 Å
α = 90.00°, β = 90.00°, γ = 120.00°
Sites, in units of the cell vectors:
1 Re 0.000 0.000 0.016
2 Tc 0.667 0.333 0.321
3 Zr 0.333 0.667 0.663

=====

> What is the total energy in the second record?

-6.01 eV/atom

=====

> Which value of total energy does entry 1 give?

-6.35 eV/atom

=====

> Among the records above, which one has the highest total energy?

Pm3InRh3